# 1
Material: SrCuB4
Method: DFT, GGA-PBE
State: relaxed

Results
DFT total energy: -5.0007 eV per atom
crystal system: orthorhombic
E above lowest polymorph: 103.8 meV/atom
V: 139.03 Å³/cell
density: 4.64 g/cm³

Structure (CIF):
```
data_SrCuB4
_space_group_name_H-M_alt 'I m m m'
_space_group_IT_number 71
_space_group_name_Hall '-I 2 2'
_cell_length_a 3.0501
_cell_length_b 5.4260
_cell_length_c 8.4011
_cell_angle_alpha 90.00
_cell_angle_beta 90.00
_cell_angle_gamma 90.00
loop_
_atom_site_label
_atom_site_type_symbol
_atom_site_fract_x
_atom_site_fract_y
_atom_site_fract_z
Sr1 Sr 0.0000 0.0000 0.0000
Cu1 Cu 0.0000 0.0000 0.5000
B1 B 0.0000 0.3362 0.2461
```


# 2
Material: NaTcAgO3
Method: DFT, GGA-PBE
State: relaxed

Results
DFT total energy: -5.9982 eV per atom
crystal system: orthorhombic
spin magnetization: 0.594 μB per formula unit
V: 313.64 Å³/cell
density: 5.86 g/cm³

Structure (CIF):
```
data_NaTcAgO3
_space_group_name_H-M_alt 'P n m a'
_space_group_IT_number 62
_space_group_name_Hall '-P 2ac 2n'
_cell_length_a 9.8995
_cell_length_b 2.9073
_cell_length_c 10.8978
_cell_angle_alpha 90.00
_cell_angle_beta 90.00
_cell_angle_gamma 90.00
loop_
_atom_site_label
_atom_site_type_symbol
_atom_site_fract_x
_atom_site_fract_y
_atom_site_fract_z
Na1 Na 0.2337 0.2500 0.1474
Tc1 Tc 0.0863 0.2500 0.8840
Ag1 Ag 0.0713 0.2500 0.4161
O1 O 0.0030 0.2500 0.2088
O2 O 0.1106 0.7500 0.0133
O3 O 0.2482 0.7500 0.3145
```


# 3
Material: HoScIn2Pt4
Method: DFT, GGA-PBE
State: relaxed

Results
DFT total energy: -6.0006 eV per atom
crystal system: hexagonal
spin magnetization: 0.005 μB per formula unit
V: 157.21 Å³/cell
density: 12.89 g/cm³

Structure (CIF):
```
data_HoScIn2Pt4
_space_group_name_H-M_alt 'P -6 m 2'
_space_group_IT_number 187
_space_group_name_Hall 'P -6 2'
_cell_length_a 4.5385
_cell_length_b 4.5385
_cell_length_c 8.8126
_cell_angle_alpha 90.00
_cell_angle_beta 90.00
_cell_angle_gamma 120.00
loop_
_atom_site_label
_atom_site_type_symbol
_atom_site_fract_x
_atom_site_fract_y
_atom_site_fract_z
Ho1 Ho 0.0000 0.0000 0.0000
Sc1 Sc 0.6667 0.3333 0.5000
In1 In 0.3333 0.6667 0.2578
Pt1 Pt 0.0000 0.0000 0.3454
Pt2 Pt 0.6667 0.3333 0.1622
```


# 4
Material: ErTm4Lu2Fe2Te2
Method: DFT, GGA-PBE
State: relaxed

Results
DFT total energy: -5.4459 eV per atom
crystal system: orthorhombic
spin magnetization: 0.479 μB per formula unit
V: 543.78 Å³/cell
density: 9.53 g/cm³

Structure (CIF):
```
data_ErTm4Lu2Fe2Te2
_space_group_name_H-M_alt 'I m m 2'
_space_group_IT_number 44
_space_group_name_Hall 'I 2 -2'
_cell_length_a 3.8210
_cell_length_b 15.4178
_cell_length_c 9.2304
_cell_angle_alpha 90.00
_cell_angle_beta 90.00
_cell_angle_gamma 90.00
loop_
_atom_site_label
_atom_site_type_symbol
_atom_site_fract_x
_atom_site_fract_y
_atom_site_fract_z
Er1 Er 0.0000 0.0000 0.0000
Tm1 Tm 0.0000 0.1370 0.5816
Tm2 Tm 0.0000 0.3502 0.7310
Lu1 Lu 0.0000 0.3125 0.3730
Fe1 Fe 0.0000 0.2350 0.0671
Te1 Te 0.0000 0.0000 0.3369
Te2 Te 0.0000 0.5000 0.2333
```


# 5
Material: Ba2InOsN6
Method: DFT, GGA-PBE
State: relaxed

Results
DFT total energy: -6.4235 eV per atom
crystal system: trigonal
E above lowest polymorph: 0.0 meV/atom
spin magnetization: 0.013 μB per formula unit
V: 444.39 Å³/cell
density: 7.44 g/cm³

Structure (CIF):
```
data_Ba2InOsN6
_space_group_name_H-M_alt 'R 3'
_space_group_IT_number 146
_space_group_name_Hall 'R 3'
_cell_length_a 5.8941
_cell_length_b 5.8941
_cell_length_c 14.7703
_cell_angle_alpha 90.00
_cell_angle_beta 90.00
_cell_angle_gamma 120.00
loop_
_atom_site_label
_atom_site_type_symbol
_atom_site_fract_x
_atom_site_fract_y
_atom_site_fract_z
Ba1 Ba 0.0000 0.0000 0.0000
Ba2 Ba 0.0000 0.0000 0.4933
In1 In 0.0000 0.0000 0.2433
Os1 Os 0.0000 0.0000 0.7273
N1 N 0.0480 0.5313 0.5007
N2 N 0.1659 0.3470 0.3411
```


# 6
Material: PmCuPd6
Method: DFT, GGA-PBE
State: relaxed

Results
DFT total energy: -5.2325 eV per atom
crystal system: trigonal
spin magnetization: 0.000 μB per formula unit
ΔH_f (0 K): -28.3 kJ/mol of atoms
V: 416.71 Å³/cell
density: 10.13 g/cm³

Structure (CIF):
```
data_PmCuPd6
_space_group_name_H-M_alt 'R -3'
_space_group_IT_number 148
_space_group_name_Hall '-R 3'
_cell_length_a 7.7415
_cell_length_b 7.7415
_cell_length_c 8.0289
_cell_angle_alpha 90.00
_cell_angle_beta 90.00
_cell_angle_gamma 120.00
loop_
_atom_site_label
_atom_site_type_symbol
_atom_site_fract_x
_atom_site_fract_y
_atom_site_fract_z
Pm1 Pm 0.0000 0.0000 0.0000
Cu1 Cu 0.0000 0.0000 0.5000
Pd1 Pd 0.0134 0.3038 0.2426
```


# 7
Material: TlCdCuHg
Method: DFT, GGA-PBE
State: relaxed

Results
DFT total energy: -1.5772 eV per atom
crystal system: cubic
E above lowest polymorph: 7.5 meV/atom
V: 358.78 Å³/cell
density: 10.75 g/cm³

Structure (CIF):
```
data_TlCdCuHg
_space_group_name_H-M_alt 'F -4 3 m'
_space_group_IT_number 216
_space_group_name_Hall 'F -4 2 3'
_cell_length_a 7.1057
_cell_length_b 7.1057
_cell_length_c 7.1057
_cell_angle_alpha 90.00
_cell_angle_beta 90.00
_cell_angle_gamma 90.00
loop_
_atom_site_label
_atom_site_type_symbol
_atom_site_fract_x
_atom_site_fract_y
_atom_site_fract_z
Tl1 Tl 0.0000 0.0000 0.0000
Cd1 Cd 0.0000 0.0000 0.5000
Cu1 Cu 0.2500 0.2500 0.2500
Hg1 Hg 0.2500 0.2500 0.7500
```


# 8
Material: Tc2Sb9
Method: DFT, GGA-PBE
State: relaxed

Results
DFT total energy: -5.1811 eV per atom
crystal system: triclinic
spin magnetization: 0.004 μB per formula unit
V: 615.89 Å³/cell
density: 6.97 g/cm³

Structure (CIF):
```
data_Tc2Sb9
_space_group_name_H-M_alt 'P -1'
_space_group_IT_number 2
_space_group_name_Hall '-P 1'
_cell_length_a 8.4475
_cell_length_b 8.6769
_cell_length_c 8.8590
_cell_angle_alpha 99.07
_cell_angle_beta 104.66
_cell_angle_gamma 94.27
loop_
_atom_site_label
_atom_site_type_symbol
_atom_site_fract_x
_atom_site_fract_y
_atom_site_fract_z
Tc1 Tc 0.1186 0.1002 0.1459
Tc2 Tc 0.3469 0.4135 0.3804
Sb1 Sb 0.0627 0.2704 0.4135
Sb2 Sb 0.0814 0.5824 0.2797
Sb3 Sb 0.1617 0.7960 0.0218
Sb4 Sb 0.1818 0.9399 0.4049
Sb5 Sb 0.1832 0.0485 0.8447
Sb6 Sb 0.2281 0.3763 0.0547
Sb7 Sb 0.3333 0.5741 0.6745
Sb8 Sb 0.4488 0.1175 0.2994
Sb9 Sb 0.4925 0.7000 0.3491
```